Density functional theory data (GGA+U) for a relaxed structure of RbVO4.

Structure (POSCAR):
```
RbVO4
1.0
-1.011 -2.343 4.860
-3.520 -4.641 -2.970
7.258 0.474 -2.146
O Rb V
8 2 2
Cartesian
-1.088 -1.435 -0.918 O
-0.749 -3.203 1.143 O
-2.432 -3.206 -2.052 O
-1.946 -4.781 0.134 O
0.244 -3.910 -1.376 O
2.484 -2.601 1.121 O
3.477 -3.308 -1.399 O
4.674 -1.730 -0.389 O
2.003 -3.609 -3.932 Rb
0.725 -2.902 3.676 Rb
3.863 -3.217 0.449 V
-1.135 -3.293 -0.705 V
```

## Properties
- energy (eV/atom) = -6.015
- magnetic moment (μB per atom) = 0.33